A plane-wave DFT calculation with PBE was carried out for a relaxed Tb5TlPd2 crystal.

```
Tb5TlPd2
1.0
-3.9603 3.9603 6.7258
3.9603 -3.9603 6.7258
3.9603 3.9603 -6.7258
Tb Tl Pd
10 2 4
Cartesian
0.0000 0.0000 0.0000
5.2108 1.2505 -1.8897
1.2505 2.7097 -1.8897
5.2108 1.2505 1.8897
1.2505 2.7097 1.8897
0.0000 0.0000 6.7258
2.7097 1.2505 4.8362
-1.2505 2.7097 4.8362
2.7097 1.2505 8.6155
-1.2505 2.7097 8.6155
0.0000 0.0000 3.3629
0.0000 0.0000 10.0887
2.9000 1.0602 0.0000
2.9000 -1.0602 6.7258
1.0602 5.0205 0.0000
1.0602 2.9000 6.7258
```

space-group type	I4/mcm (140)
crystal system	tetragonal
formation enthalpy at 0 K	-556	meV per atom

A plane-wave DFT calculation with PBE was carried out for a relaxed SrLi2Be crystal.

```
SrLi2Be
1.0
3.5231 0.0000 0.0000
0.0000 3.5231 0.0000
0.0000 0.0000 7.3483
Sr Li Be
1 2 1
Cartesian
0.0000 0.0000 0.0000
1.7615 1.7615 2.4576
1.7615 1.7615 4.8907
0.0000 0.0000 3.6742
```

space-group type	P4/mmm (123)
crystal system	tetragonal
formation enthalpy at 0 K	385	meV per atom

A plane-wave DFT calculation with PBE was carried out for a relaxed AlRe4Ni crystal.

```
AlRe4Ni
1.0
0.0000 3.6342 3.6342
3.6342 0.0000 3.6342
3.6342 3.6342 0.0000
Al Re Ni
1 4 1
Cartesian
0.0000 0.0000 0.0000
2.7300 2.7300 2.7300
4.5385 4.5385 2.7300
4.5385 2.7300 4.5385
2.7300 4.5385 4.5385
5.4514 5.4514 5.4514
```

space-group type	F-43m (216)
crystal system	cubic
formation enthalpy at 0 K	504	meV per atom

A plane-wave DFT calculation with PBE was carried out for a relaxed NaMgGe4 crystal.

```
NaMgGe4
1.0
0.0000 3.9827 3.9827
3.9827 0.0000 3.9827
3.9827 3.9827 0.0000
Na Mg Ge
1 1 4
Cartesian
0.0000 0.0000 0.0000
1.9913 1.9913 1.9913
4.9751 2.9903 2.9903
2.9903 4.9751 2.9903
2.9903 2.9903 4.9751
4.9751 4.9751 4.9751
```

space-group type	F-43m (216)
crystal system	cubic
formation enthalpy at 0 K	73	meV per atom

A plane-wave DFT calculation with PBE was carried out for a relaxed Sc2MnP crystal.

```
Sc2MnP
1.0
3.6393 0.0000 0.0000
0.0000 3.6393 0.0000
0.0000 0.0000 5.5315
Sc Mn P
2 1 1
Cartesian
0.0000 0.0000 0.0000
1.8197 1.8197 1.8042
0.0000 0.0000 2.9049
1.8197 1.8197 4.5640
```

space-group type	P4mm (99)
crystal system	tetragonal
formation enthalpy at 0 K	-328	meV per atom

A plane-wave DFT calculation with PBE was carried out for a relaxed BeTe2Se crystal.

```
BeTe2Se
1.0
0.0000 3.5256 3.5256
3.5256 0.0000 3.5256
3.5256 3.5256 0.0000
Be Te Se
1 2 1
Cartesian
0.0000 0.0000 0.0000
1.7628 1.7628 1.7628
5.2883 5.2883 5.2883
3.5256 3.5256 3.5256
```

space-group type	Fm-3m (225)
crystal system	cubic
formation energy (no corrections)	667	meV per atom

Please write out number 1 again, unchanged.
A plane-wave DFT calculation with PBE was carried out for a relaxed Tb5TlPd2 crystal.

```
Tb5TlPd2
1.0
-3.9603 3.9603 6.7258
3.9603 -3.9603 6.7258
3.9603 3.9603 -6.7258
Tb Tl Pd
10 2 4
Cartesian
0.0000 0.0000 0.0000
5.2108 1.2505 -1.8897
1.2505 2.7097 -1.8897
5.2108 1.2505 1.8897
1.2505 2.7097 1.8897
0.0000 0.0000 6.7258
2.7097 1.2505 4.8362
-1.2505 2.7097 4.8362
2.7097 1.2505 8.6155
-1.2505 2.7097 8.6155
0.0000 0.0000 3.3629
0.0000 0.0000 10.0887
2.9000 1.0602 0.0000
2.9000 -1.0602 6.7258
1.0602 5.0205 0.0000
1.0602 2.9000 6.7258
```

space-group type	I4/mcm (140)
crystal system	tetragonal
formation enthalpy at 0 K	-556	meV per atom